Density functional theory data (PBE with a Hubbard U) for a relaxed structure of LiMn6O4F8.

a = 5.347 Å, b = 5.862 Å, c = 8.128 Å
α = 84.60°, β = 88.06°, γ = 81.05°
Each line ends with the local moment (μB).
Element x y z (fractional)
Li 0.753 0.124 0.750  0.00
Mn 0.510 0.522 0.007  4.04
Mn 0.571 0.204 0.336  4.04
Mn 0.452 0.802 0.669  3.98
Mn 0.932 0.648 0.321  4.58
Mn 0.201 0.356 0.637  4.63
Mn 0.047 0.070 0.059  4.66
O 0.833 0.989 0.262  -0.04
O 0.676 0.478 0.214  -0.07
O 0.535 0.091 0.569  -0.04
O 0.361 0.536 0.794  -0.06
F 0.824 0.535 0.572  0.06
F 0.811 0.327 0.914  0.02
F 0.641 0.843 0.865  0.02
F 0.267 0.729 0.488  0.02
F 0.373 0.205 0.085  0.07
F 0.199 0.340 0.372  0.03
F 0.118 0.041 0.772  0.05
F 0.203 0.713 0.098  0.03

Computed properties:
Crystal system: triclinic
DFT total energy in eV per cell: -123.25
Magnetic moment in μB per formula unit: 27.00
Energy relative to the lowest polymorph listed for this composition in meV/atom: 37